Computed, not measured: crystalline Ca2CdF6 at its relaxed geometry at the PBE level of DFT.

The structure in POSCAR format:
```
Ca2CdF6
1.0
-1.6993 -1.2102 -3.2849
4.4260 -3.0504 -1.1658
-3.7133 -2.3787 5.1017
Ca F Cd
2 6 1
Direct
0.3336 0.3334 0.6667 Ca
0.6664 0.6666 0.3333 Ca
0.8335 0.0834 0.6668 F
0.5000 0.7498 0.0000 F
0.1665 0.4167 0.3332 F
0.8335 0.5833 0.6668 F
0.1665 0.9166 0.3332 F
0.5000 0.2502 0.0000 F
0.0000 0.0000 0.0000 Cd
```

Calculated values
ΔE_f (raw)   -3361 meV per atom
Total magnetization   0.0 μB/cell
Crystal system   orthorhombic
Total energy   -5.16 eV/atom
Energy above the most stable polymorph in this dataset   0 meV per atom
Calculated volume   13.9 Å³/atom
Calculated density   4.07 g/cm3

Computed, not measured: crystalline Mn2AlAu at its relaxed geometry at the PBE level of DFT.

The structure in POSCAR format:
```
Mn2AlAu
1.0
-2.4494 0.7328 3.3785
-4.1726 0.5496 -0.4877
-2.7001 -2.9754 1.3444
Mn Al Au
2 1 1
Direct
0.7500 0.7500 0.7500 Mn
0.2500 0.2500 0.2500 Mn
0.0000 0.0000 0.0000 Al
0.5000 0.5000 0.5000 Au
```

Calculated values
Total magnetization   0.0 μB/cell
Crystal system   cubic
Total energy   -6.06 eV/atom
Energy above the most stable polymorph in this dataset   406 meV per atom
Calculated volume   13.4 Å³/atom
Formation enthalpy at 0 K   0.2802 eV/atom
Calculated density   10.31 g/cm3

Computed, not measured: crystalline Rb2Pm2BiO6 at its relaxed geometry at the PBE level of DFT.

The structure in POSCAR format:
```
Rb2Pm2BiO6
1.0
6.1960 -0.0149 0.0875
-3.0754 5.3789 0.0875
-1.0809 -1.8580 6.6799
Pm O Rb Bi
2 6 2 1
Direct
0.6654 0.3346 0.5000 Pm
0.3346 0.6654 0.5000 Pm
0.6197 0.9516 0.3289 O
0.3803 0.0484 0.6711 O
0.9516 0.6197 0.3289 O
0.2628 0.2628 0.3272 O
0.0484 0.3803 0.6711 O
0.7372 0.7372 0.6728 O
0.1647 0.8353 0.0000 Rb
0.8353 0.1647 0.0000 Rb
0.0000 0.0000 0.5000 Bi
```

Calculated values
ΔE_f (raw)   -2167 meV per atom
Total magnetization   0.8 μB/cell
Crystal system   monoclinic
Total energy   -6.26 eV/atom
Calculated volume   20.4 Å³/atom
Calculated density   5.67 g/cm3

Computed, not measured: crystalline LaCd3Ge at its relaxed geometry at the PBE level of DFT.

The structure in POSCAR format:
```
LaCd3Ge
1.0
5.9593 0.0000 0.0000
0.0000 5.9593 0.0000
0.0000 0.0000 5.9593
Ge Cd La
1 3 1
Direct
0.5000 0.5000 0.5000 Ge
0.0000 0.0000 0.5000 Cd
0.0000 0.5000 0.0000 Cd
0.5000 0.0000 0.0000 Cd
0.0000 0.0000 0.0000 La
```

Calculated values
Total magnetization   0.7 μB/cell
Crystal system   cubic
Total energy   -1.42 eV/atom
Energy above the most stable polymorph in this dataset   930 meV per atom
Calculated volume   42.3 Å³/atom
Formation enthalpy at 0 K   1.0386 eV/atom
Calculated density   4.31 g/cm3

Computed, not measured: crystalline TbDy2Sc5 at its relaxed geometry at the PBE level of DFT.

The structure in POSCAR format:
```
TbDy2Sc5
1.0
6.7029 0.0211 0.0300
-3.2817 5.8446 -0.0300
-3.2817 -2.0164 5.4858
Sc Tb Dy
5 1 2
Direct
0.0000 0.2780 0.7775 Sc
0.0000 0.7775 0.2780 Sc
0.0000 0.2774 0.2774 Sc
0.4995 0.7775 0.7775 Sc
0.5005 0.2780 0.2780 Sc
0.0000 0.7782 0.7782 Tb
0.5000 0.2777 0.7777 Dy
0.5000 0.7777 0.2777 Dy
```

Calculated values
Total magnetization   0.0 μB/cell
Crystal system   tetragonal
Total energy   -5.63 eV/atom
Energy above the most stable polymorph in this dataset   33 meV per atom
Calculated volume   27.0 Å³/atom
Formation enthalpy at 0 K   0.0580 eV/atom
Calculated density   5.46 g/cm3

Computed, not measured: crystalline La8Bi3SbTe4 at its relaxed geometry at the PBE level of DFT.

The structure in POSCAR format:
```
La8Bi3SbTe4
1.0
-0.0467 -7.4898 -5.4974
8.8389 -1.6668 2.1958
-6.3792 0.8866 6.6973
Bi La Te Sb
3 8 4 1
Direct
0.5000 0.5000 0.0000 Bi
0.5000 0.5000 0.5000 Bi
0.0000 0.5000 0.5000 Bi
0.2476 0.7474 0.4952 La
0.2469 0.2533 0.0002 La
0.7532 0.2533 0.0002 La
0.2468 0.7467 0.9998 La
0.7497 0.7497 0.4995 La
0.7531 0.7467 0.9998 La
0.2503 0.2503 0.5005 La
0.7524 0.2526 0.5048 La
0.5000 0.0000 0.0000 Te
0.5000 0.0000 0.5000 Te
0.0000 0.0000 0.0000 Te
0.0000 0.0000 0.5000 Te
0.0000 0.5000 0.0000 Sb
```

Calculated values
ΔE_f (raw)   -1383 meV per atom
Total magnetization   0.0 μB/cell
Crystal system   monoclinic
Total energy   -5.62 eV/atom
Calculated volume   35.3 Å³/atom
Calculated density   6.98 g/cm3

Computed, not measured: crystalline BeFeMo at its relaxed geometry at the PBE level of DFT.

The structure in POSCAR format:
```
BeFeMo
1.0
3.9917 -0.0219 -2.2580
-2.6147 3.7667 -0.0889
-0.0238 0.0219 4.5860
Fe Mo Be
2 2 2
Direct
0.0000 0.5000 0.5000 Fe
0.5000 0.0000 0.5000 Fe
0.2500 0.1309 0.8809 Mo
0.7500 0.8691 0.1191 Mo
0.5000 0.5000 0.5000 Be
0.0000 0.5000 0.0000 Be
```

Calculated values
Total magnetization   3.3 μB/cell
Crystal system   orthorhombic
Total energy   -7.84 eV/atom
Energy above the most stable polymorph in this dataset   0 meV per atom
Calculated volume   11.4 Å³/atom
Formation enthalpy at 0 K   -0.1683 eV/atom
Calculated density   7.78 g/cm3

Computed, not measured: crystalline RbNa4Hg at its relaxed geometry at the PBE level of DFT.

The structure in POSCAR format:
```
RbNa4Hg
1.0
-1.5568 -6.7714 0.6208
4.1370 -4.8101 -2.8999
3.9176 -4.1236 4.0385
Na Rb Hg
4 1 1
Direct
0.1197 0.6268 0.6268 Na
0.6268 0.6268 0.6268 Na
0.6268 0.1197 0.6268 Na
0.6268 0.6268 0.1197 Na
0.2500 0.2500 0.2500 Rb
0.0000 0.0000 0.0000 Hg
```

Calculated values
Total magnetization   0.0 μB/cell
Crystal system   cubic
Total energy   -1.08 eV/atom
Energy above the most stable polymorph in this dataset   97 meV per atom
Calculated volume   40.0 Å³/atom
Formation enthalpy at 0 K   0.0100 eV/atom
Calculated density   2.62 g/cm3

Computed, not measured: crystalline AlCdI2N at its relaxed geometry at the PBE level of DFT.

The structure in POSCAR format:
```
AlCdI2N
1.0
-2.9815 -4.7251 2.5255
5.3122 -2.2313 2.0968
-0.4930 2.2695 3.6641
Cd I Al N
1 2 1 1
Direct
0.0000 0.0000 0.0000 Cd
0.5000 0.0000 0.0000 I
0.0000 0.5000 0.0000 I
0.5000 0.5000 0.5000 Al
0.0000 0.0000 0.5000 N
```

Calculated values
ΔE_f (raw)   656 meV per atom
Total magnetization   2.0 μB/cell
Crystal system   tetragonal
Total energy   -2.56 eV/atom
Energy above the most stable polymorph in this dataset   541 meV per atom
Calculated volume   32.6 Å³/atom
Calculated density   4.15 g/cm3

Computed, not measured: crystalline Li2GaSi at its relaxed geometry at the PBE level of DFT.

The structure in POSCAR format:
```
Li2GaSi
1.0
2.4993 1.1169 3.4009
-1.1298 -1.2258 4.0350
2.3300 -3.0438 2.0896
Ga Si Li
1 1 2
Direct
0.5000 0.5000 0.5000 Ga
0.0000 0.0000 0.0000 Si
0.2500 0.2500 0.2500 Li
0.7500 0.7500 0.7500 Li
```

Calculated values
ΔE_f (raw)   -145 meV per atom
Total magnetization   0.0 μB/cell
Crystal system   cubic
Total energy   -3.21 eV/atom
Energy above the most stable polymorph in this dataset   63 meV per atom
Calculated volume   14.7 Å³/atom
Calculated density   3.15 g/cm3

Computed, not measured: crystalline Rb2Cd5Au at its relaxed geometry at the PBE level of DFT.

The structure in POSCAR format:
```
Rb2Cd5Au
1.0
5.2915 0.0000 0.0000
-2.6457 9.0946 0.0000
0.0000 0.0000 10.4916
Cd Au Rb
10 2 4
Direct
0.6519 0.3038 0.4814 Cd
0.8106 0.6212 0.3896 Cd
0.8106 0.6212 0.1104 Cd
0.3481 0.6962 0.5186 Cd
0.3481 0.6962 0.9814 Cd
0.1894 0.3788 0.6104 Cd
0.1894 0.3788 0.8896 Cd
0.4065 0.8131 0.2500 Cd
0.6519 0.3038 0.0186 Cd
0.5935 0.1869 0.7500 Cd
0.4354 0.8709 0.7500 Au
0.5646 0.1291 0.2500 Au
0.8070 0.6140 0.7500 Rb
0.1930 0.3860 0.2500 Rb
0.0000 0.0000 0.0000 Rb
0.0000 0.0000 0.5000 Rb
```

Calculated values
Total magnetization   0.0 μB/cell
Crystal system   orthorhombic
Total energy   -1.33 eV/atom
Energy above the most stable polymorph in this dataset   0 meV per atom
Calculated volume   31.6 Å³/atom
Formation enthalpy at 0 K   -0.1047 eV/atom
Calculated density   6.12 g/cm3